Entry 1:
VASP calculation (PBE-GGA) on a relaxed Li2YGa crystal.

ΔH_f (0 K) ... 136 meV/atom
Magnetization ... 0.00 μB per cell
D(E_F) ... 2.253 states/eV/cell

a = 10.806 Å, b = 10.806 Å, c = 10.806 Å
α = 16.89°, β = 16.89°, γ = 16.89°
Atoms (fractional coordinates):
Li 0.097 0.097 0.097
Li 0.903 0.903 0.903
Y 0.000 0.000 0.000
Ga 0.500 0.500 0.500

Entry 2:
VASP calculation (PBE-GGA) on a relaxed AsSeBr3 crystal.

ΔE_f (raw) ... 0.256 eV per atom
E above lowest polymorph ... 0.5003 eV/atom
Magnetization ... 2.21 μB per cell
D(E_F) ... 3.314 states/eV/cell

a = 5.341 Å, b = 5.341 Å, c = 5.341 Å
α = 90.00°, β = 90.00°, γ = 90.00°
Atoms (fractional coordinates):
As 0.000 0.000 0.000
Se 0.500 0.500 0.500
Br 0.000 0.000 0.500
Br 0.000 0.500 0.000
Br 0.500 0.000 0.000

Entry 3:
VASP calculation (PBE-GGA) on a relaxed LaPm15Nd4 crystal.

ΔH_f (0 K) ... 15 meV/atom
Magnetization ... 0.00 μB per cell
D(E_F) ... 29.850 states/eV/cell

a = 5.186 Å, b = 5.186 Å, c = 25.884 Å
α = 90.00°, β = 90.00°, γ = 90.00°
Atoms (fractional coordinates):
La 0.000 0.000 0.000
Pm 0.000 0.500 0.101
Pm 0.000 0.500 0.300
Pm 0.000 0.500 0.500
Pm 0.000 0.500 0.700
Pm 0.000 0.500 0.899
Pm 0.500 0.000 0.101
Pm 0.500 0.000 0.300
Pm 0.500 0.000 0.500
Pm 0.500 0.000 0.700
Pm 0.500 0.000 0.899
Pm 0.500 0.500 0.000
Pm 0.500 0.500 0.201
Pm 0.500 0.500 0.400
Pm 0.500 0.500 0.600
Pm 0.500 0.500 0.799
Nd 0.000 0.000 0.200
Nd 0.000 0.000 0.400
Nd 0.000 0.000 0.600
Nd 0.000 0.000 0.800

Entry 4:
VASP calculation (PBE-GGA) on a relaxed Cs4Sr3Cl10 crystal.

ΔE_f (raw) ... -2.257 eV per atom
Magnetization ... 0.25 μB per cell
D(E_F) ... 0.000 states/eV/cell

a = 20.577 Å, b = 20.577 Å, c = 20.577 Å
α = 164.01°, β = 164.01°, γ = 22.68°
Atoms (fractional coordinates):
Cs 0.068 0.068 0.000
Cs 0.202 0.202 0.000
Cs 0.798 0.798 0.000
Cs 0.932 0.932 0.000
Sr 0.358 0.358 0.000
Sr 0.500 0.500 0.000
Sr 0.642 0.642 0.000
Cl 0.000 0.500 0.500
Cl 0.141 0.641 0.500
Cl 0.287 0.287 0.000
Cl 0.359 0.859 0.500
Cl 0.429 0.429 0.000
Cl 0.500 0.000 0.500
Cl 0.571 0.571 0.000
Cl 0.641 0.141 0.500
Cl 0.713 0.713 0.000
Cl 0.859 0.359 0.500

Entry 5:
VASP calculation (PBE-GGA) on a relaxed SbWAu2 crystal.

ΔE_f (raw) ... 0.643 eV per atom
Magnetization ... 0.55 μB per cell
D(E_F) ... 4.621 states/eV/cell

a = 5.431 Å, b = 5.431 Å, c = 5.431 Å
α = 136.42°, β = 136.42°, γ = 63.34°
Atoms (fractional coordinates):
Sb 0.000 0.000 0.000
W 0.500 0.500 0.000
Au 0.250 0.750 0.500
Au 0.750 0.250 0.500

Entry 6:
VASP calculation (PBE-GGA) on a relaxed VHS3 crystal.

E above lowest polymorph ... 0.4336 eV/atom
Magnetization ... 2.20 μB per cell
D(E_F) ... 5.033 states/eV/cell

a = 4.041 Å, b = 4.041 Å, c = 4.041 Å
α = 90.00°, β = 90.00°, γ = 90.00°
Atoms (fractional coordinates):
V 0.000 0.000 0.000
H 0.500 0.500 0.500
S 0.000 0.500 0.500
S 0.500 0.000 0.500
S 0.500 0.500 0.000

Entry 7:
VASP calculation (PBE-GGA) on a relaxed TiBeFe2Sn crystal.

ΔH_f (0 K) ... 1489 meV/atom
Magnetization ... 0.03 μB per cell
D(E_F) ... 8.532 states/eV/cell

a = 4.594 Å, b = 4.594 Å, c = 4.240 Å
α = 90.00°, β = 90.00°, γ = 90.00°
Atoms (fractional coordinates):
Ti 0.000 0.000 0.000
Be 0.500 0.500 0.000
Fe 0.000 0.500 0.500
Fe 0.500 0.000 0.500
Sn 0.500 0.500 0.500

Entry 8:
VASP calculation (PBE-GGA) on a relaxed ReMoI2 crystal.

ΔE_f (raw) ... 1.597 eV per atom
E above lowest polymorph ... 0.1679 eV/atom
Magnetization ... 0.00 μB per cell
D(E_F) ... 3.196 states/eV/cell

a = 7.357 Å, b = 7.357 Å, c = 7.357 Å
α = 131.84°, β = 131.84°, γ = 70.48°
Atoms (fractional coordinates):
Re 0.000 0.000 0.000
Re 0.750 0.250 0.500
Mo 0.250 0.750 0.500
Mo 0.500 0.500 0.000
I 0.120 0.625 0.995
I 0.375 0.370 0.495
I 0.630 0.125 0.005
I 0.875 0.880 0.505

Entry 9:
VASP calculation (PBE-GGA) on a relaxed K3SmF6 crystal.

ΔE_f (raw) ... -3.208 eV per atom
Magnetization ... 0.00 μB per cell
D(E_F) ... 0.000 states/eV/cell

a = 6.914 Å, b = 6.914 Å, c = 6.914 Å
α = 116.87°, β = 116.87°, γ = 95.52°
Atoms (fractional coordinates):
K 0.000 0.000 0.000
K 0.250 0.750 0.500
K 0.750 0.250 0.500
Sm 0.500 0.500 0.000
F 0.190 0.500 0.690
F 0.258 0.258 0.000
F 0.500 0.190 0.690
F 0.500 0.810 0.310
F 0.742 0.742 0.000
F 0.810 0.500 0.310

Entry 10:
VASP calculation (PBE-GGA) on a relaxed Ac3AgTe4 crystal.

ΔE_f (raw) ... -1.056 eV per atom
Magnetization ... 1.81 μB per cell
D(E_F) ... 7.239 states/eV/cell

a = 10.750 Å, b = 9.377 Å, c = 6.692 Å
α = 90.00°, β = 90.00°, γ = 90.00°
Atoms (fractional coordinates):
Ac 0.000 0.222 0.000
Ac 0.229 0.660 0.000
Ac 0.271 0.340 0.500
Ac 0.500 0.778 0.500
Ac 0.729 0.340 0.500
Ac 0.771 0.660 0.000
Ag 0.000 0.869 0.357
Ag 0.500 0.131 0.857
Te 0.000 0.172 0.497
Te 0.000 0.880 0.943
Te 0.204 0.683 0.498
Te 0.296 0.317 0.998
Te 0.500 0.120 0.443
Te 0.500 0.828 0.997
Te 0.704 0.317 0.998
Te 0.796 0.683 0.498

Entry 11:
VASP calculation (PBE-GGA) on a relaxed Nb2Zn2Cd crystal.

ΔH_f (0 K) ... 156 meV/atom
E above lowest polymorph ... 0.0000 eV/atom
Magnetization ... 0.00 μB per cell
D(E_F) ... 8.520 states/eV/cell

a = 6.784 Å, b = 6.784 Å, c = 3.740 Å
α = 90.00°, β = 90.00°, γ = 90.00°
Atoms (fractional coordinates):
Nb 0.172 0.328 0.000
Nb 0.328 0.828 0.000
Nb 0.672 0.172 0.000
Nb 0.828 0.672 0.000
Zn 0.126 0.626 0.500
Zn 0.374 0.126 0.500
Zn 0.626 0.874 0.500
Zn 0.874 0.374 0.500
Cd 0.000 0.000 0.500
Cd 0.500 0.500 0.500

Entry 12:
VASP calculation (PBE-GGA) on a relaxed Mn3ReCl crystal.

ΔE_f (raw) ... 1.183 eV per atom
E above lowest polymorph ... 0.0170 eV/atom
Magnetization ... 10.39 μB per cell
D(E_F) ... 5.387 states/eV/cell

a = 4.804 Å, b = 4.804 Å, c = 4.804 Å
α = 90.00°, β = 90.00°, γ = 90.00°
Atoms (fractional coordinates):
Mn 0.000 0.000 0.500
Mn 0.000 0.500 0.000
Mn 0.500 0.000 0.000
Re 0.000 0.000 0.000
Cl 0.500 0.500 0.500

Entry 13:
VASP calculation (PBE-GGA) on a relaxed SrPrAg crystal.

ΔH_f (0 K) ... -110 meV/atom
E above lowest polymorph ... 0.0000 eV/atom
Magnetization ... 0.01 μB per cell
D(E_F) ... 3.946 states/eV/cell

a = 7.428 Å, b = 7.428 Å, c = 7.428 Å
α = 149.93°, β = 149.93°, γ = 43.04°
Atoms (fractional coordinates):
Sr 0.000 0.000 0.000
Pr 0.273 0.273 0.000
Ag 0.651 0.651 0.000

Entry 14:
VASP calculation (PBE-GGA) on a relaxed Fe2AgHPd crystal.

E above lowest polymorph ... 0.0603 eV/atom
Magnetization ... 5.76 μB per cell
D(E_F) ... 3.731 states/eV/cell

a = 3.814 Å, b = 3.814 Å, c = 4.110 Å
α = 90.00°, β = 90.00°, γ = 90.00°
Atoms (fractional coordinates):
Fe 0.000 0.500 0.000
Fe 0.500 0.000 0.000
Ag 0.000 0.000 0.500
H 0.000 0.000 0.000
Pd 0.500 0.500 0.500

Entry 15:
VASP calculation (PBE-GGA) on a relaxed ZrAgSeCl2 crystal.

ΔE_f (raw) ... 0.149 eV per atom
Magnetization ... 1.34 μB per cell
D(E_F) ... 3.529 states/eV/cell

a = 4.598 Å, b = 4.598 Å, c = 6.428 Å
α = 90.00°, β = 90.00°, γ = 90.00°
Atoms (fractional coordinates):
Zr 0.000 0.000 0.000
Ag 0.000 0.000 0.500
Se 0.500 0.500 0.000
Cl 0.000 0.500 0.500
Cl 0.500 0.000 0.500

Entry 16:
VASP calculation (PBE-GGA) on a relaxed Pm2GdDy crystal.

ΔH_f (0 K) ... 14 meV/atom
E above lowest polymorph ... 0.0012 eV/atom
Magnetization ... 7.22 μB per cell
D(E_F) ... 5.594 states/eV/cell

a = 11.919 Å, b = 11.919 Å, c = 11.919 Å
α = 17.42°, β = 17.42°, γ = 17.42°
Atoms (fractional coordinates):
Pm 0.249 0.249 0.249
Pm 0.751 0.751 0.751
Gd 0.000 0.000 0.000
Dy 0.500 0.500 0.500

Entry 17:
VASP calculation (PBE-GGA) on a relaxed Cd2WSe crystal.

ΔE_f (raw) ... 0.740 eV per atom
Magnetization ... 0.00 μB per cell
D(E_F) ... 3.007 states/eV/cell

a = 5.785 Å, b = 5.785 Å, c = 5.785 Å
α = 140.84°, β = 140.84°, γ = 56.58°
Atoms (fractional coordinates):
Cd 0.250 0.750 0.500
Cd 0.750 0.250 0.500
W 0.000 0.000 0.000
Se 0.500 0.500 0.000

Entry 18:
VASP calculation (PBE-GGA) on a relaxed KMg3As crystal.

ΔH_f (0 K) ... 87 meV/atom
E above lowest polymorph ... 0.0000 eV/atom
Magnetization ... 0.00 μB per cell
D(E_F) ... 3.811 states/eV/cell

a = 5.407 Å, b = 5.407 Å, c = 5.407 Å
α = 90.00°, β = 90.00°, γ = 90.00°
Atoms (fractional coordinates):
K 0.000 0.000 0.000
Mg 0.000 0.500 0.500
Mg 0.500 0.000 0.500
Mg 0.500 0.500 0.000
As 0.500 0.500 0.500

Entry 19:
VASP calculation (PBE-GGA) on a relaxed NaAc3In8 crystal.

ΔH_f (0 K) ... -342 meV/atom
Magnetization ... 0.00 μB per cell
D(E_F) ... 6.482 states/eV/cell

a = 10.935 Å, b = 10.935 Å, c = 10.935 Å
α = 33.34°, β = 33.34°, γ = 33.34°
Atoms (fractional coordinates):
Na 0.000 0.000 0.000
Ac 0.122 0.122 0.122
Ac 0.502 0.502 0.502
Ac 0.630 0.630 0.630
In 0.064 0.064 0.563
In 0.064 0.563 0.064
In 0.065 0.564 0.564
In 0.314 0.314 0.314
In 0.563 0.064 0.064
In 0.564 0.065 0.564
In 0.564 0.564 0.065
In 0.814 0.814 0.814

Entry 20:
VASP calculation (PBE-GGA) on a relaxed Zr2CoCu crystal.

ΔH_f (0 K) ... -76 meV/atom
Magnetization ... 0.76 μB per cell
D(E_F) ... 3.857 states/eV/cell

a = 3.295 Å, b = 3.295 Å, c = 6.286 Å
α = 90.00°, β = 90.00°, γ = 90.00°
Atoms (fractional coordinates):
Zr 0.000 0.000 0.000
Zr 0.500 0.500 0.331
Co 0.000 0.000 0.557
Cu 0.500 0.500 0.761